(1)
# AgMoAs2Se PBE optimized geometry
data_AgMoAs2Se
_chemical_formula_sum 'Ag1 Mo1 As2 Se1'
_symmetry_space_group_name_H-M 'P 4/m m m'
_symmetry_Int_Tables_number 123
_symmetry_space_group_name_Hall '-P 4 2'
_cell_length_a 4.929
_cell_length_b 4.929
_cell_length_c 4.893
_cell_angle_alpha 90.00
_cell_angle_beta 90.00
_cell_angle_gamma 90.00
loop_
_atom_site_label
_atom_site_fract_x
_atom_site_fract_y
_atom_site_fract_z
_atom_site_occupancy
Ag1 0.000 0.000 0.000 1
Mo1 0.500 0.500 0.500 1
As1 0.000 0.500 0.500 1
Se1 0.500 0.500 0.000 1
# crystal system = tetragonal
# formation energy without anion corrections = 475.7 meV per atom
# mass density = 6.04 g/cm³
# energy relative to the lowest polymorph listed for this composition = 0 meV per atom

---

(2)
# Ag2MoAsSe PBE optimized geometry
data_Ag2MoAsSe
_chemical_formula_sum 'Ag2 Mo1 As1 Se1'
_symmetry_space_group_name_H-M 'P 4/m m m'
_symmetry_Int_Tables_number 123
_symmetry_space_group_name_Hall '-P 4 2'
_cell_length_a 4.909
_cell_length_b 4.909
_cell_length_c 4.924
_cell_angle_alpha 90.00
_cell_angle_beta 90.00
_cell_angle_gamma 90.00
loop_
_atom_site_label
_atom_site_fract_x
_atom_site_fract_y
_atom_site_fract_z
_atom_site_occupancy
Ag1 0.000 0.500 0.000 1
Mo1 0.000 0.000 0.500 1
As1 0.500 0.500 0.500 1
Se1 0.000 0.000 0.000 1
# crystal system = tetragonal
# formation energy without anion corrections = 891.2 meV per atom
# mass density = 6.51 g/cm³

---

Q: What is the formation energy without anion corrections in the second record?
A: 891.2 meV per atom